*P*
Compound: Pm4CdHg7
Source: the Alexandria database
Functional: PBE
Structure: optimized geometry

Results
D(E_F) ... 0.6601 states/eV/atom

Structure (CIF):
```
data_Pm4CdHg7
_cell_length_a 5.3965
_cell_length_b 7.4859
_cell_length_c 8.6207
_cell_angle_alpha 111.22
_cell_angle_beta 91.44
_cell_angle_gamma 90.77
_symmetry_space_group_name_H-M 'P -1'
_symmetry_Int_Tables_number 2
loop_
_symmetry_equiv_pos_as_xyz
'x,y,z'
'-x,-y,-z'
loop_
_atom_site_label
_atom_site_type_symbol
_atom_site_fract_x
_atom_site_fract_y
_atom_site_fract_z
Pm1 Pm 0.2401 0.4158 0.3171
Pm2 Pm 0.2442 0.9048 0.2686
Cd1 Cd 0.5000 0.5000 0.0000
Hg1 Hg 0.0000 0.5000 0.0000
Hg2 Hg 0.2523 0.8131 0.6115
Hg3 Hg 0.2536 0.0730 0.9645
Hg4 Hg 0.2586 0.2892 0.6344
```



*Q*
Compound: Pm4CdHg7
Source: the Alexandria database
Functional: PBE
Structure: optimized geometry

Results
D(E_F) ... 0.7531 states/eV/atom

Structure (CIF):
```
data_Pm4CdHg7
_cell_length_a 13.5236
_cell_length_b 5.4347
_cell_length_c 10.8442
_cell_angle_alpha 90.00
_cell_angle_beta 121.52
_cell_angle_gamma 90.00
_symmetry_space_group_name_H-M 'C 1 2/m 1'
_symmetry_Int_Tables_number 12
loop_
_symmetry_equiv_pos_as_xyz
'x,y,z'
'-x,-y,-z'
'-x,y,-z'
'x,-y,z'
'x+1/2,y+1/2,z'
'-x+1/2,-y+1/2,-z'
'-x+1/2,y+1/2,-z'
'x+1/2,-y+1/2,z'
loop_
_atom_site_label
_atom_site_type_symbol
_atom_site_fract_x
_atom_site_fract_y
_atom_site_fract_z
Pm1 Pm 0.0767 0.0000 0.2762
Pm2 Pm 0.2383 0.0000 0.8166
Cd1 Cd 0.0000 0.5000 0.5000
Hg1 Hg 0.0000 0.0000 0.5000
Hg2 Hg 0.0811 0.5000 0.8400
Hg3 Hg 0.1399 0.0000 0.0356
Hg4 Hg 0.1921 0.5000 0.4227
```



Energies relative to the most stable structure are *P* 0; *Q* 55, reported in meV per atom.



*P*
Compound: PmCd4Hg4
Source: the Alexandria database
Functional: PBE
Structure: optimized geometry

Results
D(E_F) ... 0.5975 states/eV/atom

Structure (CIF):
```
data_PmCd4Hg4
_cell_length_a 6.6829
_cell_length_b 6.6829
_cell_length_c 10.1189
_cell_angle_alpha 90.00
_cell_angle_beta 90.00
_cell_angle_gamma 90.00
_symmetry_space_group_name_H-M 'P 42/n m c'
_symmetry_Int_Tables_number 137
loop_
_symmetry_equiv_pos_as_xyz
'x,y,z'
'-x,-y,-z'
'-y+1/2,x,z+1/2'
'y+1/2,-x,-z+1/2'
'-x+1/2,-y+1/2,z'
'x+1/2,y+1/2,-z'
'y,-x+1/2,z+1/2'
'-y,x+1/2,-z+1/2'
'x+1/2,-y,-z'
'-x+1/2,y,z'
'-y,-x,-z+1/2'
'y,x,z+1/2'
'-x,y+1/2,-z'
'x,-y+1/2,z'
'y+1/2,x+1/2,-z+1/2'
'-y+1/2,-x+1/2,z+1/2'
loop_
_atom_site_label
_atom_site_type_symbol
_atom_site_fract_x
_atom_site_fract_y
_atom_site_fract_z
Pm1 Pm 0.2500 0.7500 0.2500
Cd1 Cd 0.0372 0.2500 0.1879
Hg1 Hg 0.0009 0.7500 0.5200
```



*Q*
Compound: PmCd4Hg4
Source: the Alexandria database
Functional: PBE
Structure: optimized geometry

Results
D(E_F) ... 0.4513 states/eV/atom

Structure (CIF):
```
data_PmCd4Hg4
_cell_length_a 9.9955
_cell_length_b 9.9955
_cell_length_c 4.3848
_cell_angle_alpha 90.00
_cell_angle_beta 90.00
_cell_angle_gamma 90.00
_symmetry_space_group_name_H-M 'I 4/m m m'
_symmetry_Int_Tables_number 139
_symmetry_space_group_name_Hall '-I 4 2'
loop_
_atom_site_label
_atom_site_type_symbol
_atom_site_fract_x
_atom_site_fract_y
_atom_site_fract_z
Pm1 Pm 0.0000 0.0000 0.0000
Cd1 Cd 0.0000 0.3390 0.0000
Hg1 Hg 0.1705 0.1705 0.5000
```



Energies relative to the most stable structure are *P* 65; *Q* 0, reported in meV per atom.



*P*
Compound: PmCdSnHg
Source: the Alexandria database
Functional: PBE
Structure: optimized geometry

Results
D(E_F) ... 0.7682 states/eV/atom

Structure (CIF):
```
data_PmCdSnHg
_cell_length_a 7.4588
_cell_length_b 7.4588
_cell_length_c 7.4588
_cell_angle_alpha 90.00
_cell_angle_beta 90.00
_cell_angle_gamma 90.00
_symmetry_space_group_name_H-M 'F -4 3 m'
_symmetry_Int_Tables_number 216
_symmetry_space_group_name_Hall 'F -4 2 3'
loop_
_atom_site_label
_atom_site_type_symbol
_atom_site_fract_x
_atom_site_fract_y
_atom_site_fract_z
Pm1 Pm 0.0000 0.0000 0.0000
Cd1 Cd 0.0000 0.0000 0.5000
Sn1 Sn 0.2500 0.2500 0.7500
Hg1 Hg 0.2500 0.2500 0.2500
```



*Q*
Compound: PmCdSnHg
Source: the Alexandria database
Functional: PBE
Structure: optimized geometry

Results
D(E_F) ... 0.4046 states/eV/atom

Structure (CIF):
```
data_PmCdSnHg
_cell_length_a 4.4789
_cell_length_b 4.6150
_cell_length_c 4.8971
_cell_angle_alpha 90.00
_cell_angle_beta 90.00
_cell_angle_gamma 90.00
_symmetry_space_group_name_H-M 'P m m m'
_symmetry_Int_Tables_number 47
loop_
_symmetry_equiv_pos_as_xyz
'x,y,z'
'-x,-y,-z'
'-x,-y,z'
'x,y,-z'
'x,-y,-z'
'-x,y,z'
'-x,y,-z'
'x,-y,z'
loop_
_atom_site_label
_atom_site_type_symbol
_atom_site_fract_x
_atom_site_fract_y
_atom_site_fract_z
Pm1 Pm 0.0000 0.0000 0.0000
Cd1 Cd 0.0000 0.5000 0.5000
Sn1 Sn 0.5000 0.5000 0.0000
Hg1 Hg 0.5000 0.0000 0.5000
```



Energies relative to the most stable structure are *P* 150; *Q* 0, reported in meV per atom.



*P*
Compound: SrPmCdHg
Source: the Alexandria database
Functional: PBE
Structure: optimized geometry

Results
D(E_F) ... 0.9354 states/eV/atom

Structure (CIF):
```
data_SrPmCdHg
_cell_length_a 3.9256
_cell_length_b 3.9256
_cell_length_c 7.8288
_cell_angle_alpha 90.00
_cell_angle_beta 90.00
_cell_angle_gamma 90.00
_symmetry_space_group_name_H-M 'P 4 m m'
_symmetry_Int_Tables_number 99
loop_
_symmetry_equiv_pos_as_xyz
'x,y,z'
'-y,x,z'
'-x,-y,z'
'y,-x,z'
'-x,y,z'
'y,x,z'
'x,-y,z'
'-y,-x,z'
loop_
_atom_site_label
_atom_site_type_symbol
_atom_site_fract_x
_atom_site_fract_y
_atom_site_fract_z
Sr1 Sr 0.0000 0.0000 0.0000
Pm1 Pm 0.0000 0.0000 0.4928
Cd1 Cd 0.5000 0.5000 0.7228
Hg1 Hg 0.5000 0.5000 0.2722
```



*Q*
Compound: SrPmCdHg
Source: the Alexandria database
Functional: PBE
Structure: optimized geometry

Results
D(E_F) ... 0.9320 states/eV/atom

Structure (CIF):
```
data_SrPmCdHg
_cell_length_a 7.8170
_cell_length_b 7.8170
_cell_length_c 7.8170
_cell_angle_alpha 90.00
_cell_angle_beta 90.00
_cell_angle_gamma 90.00
_symmetry_space_group_name_H-M 'F -4 3 m'
_symmetry_Int_Tables_number 216
_symmetry_space_group_name_Hall 'F -4 2 3'
loop_
_atom_site_label
_atom_site_type_symbol
_atom_site_fract_x
_atom_site_fract_y
_atom_site_fract_z
Sr1 Sr 0.0000 0.0000 0.0000
Pm1 Pm 0.0000 0.0000 0.5000
Cd1 Cd 0.2500 0.2500 0.2500
Hg1 Hg 0.2500 0.2500 0.7500
```



Energies relative to the most stable structure are *P* 0; *Q* 25, reported in meV per atom.



*P*
Compound: PrCdHg4
Source: the Alexandria database
Functional: PBE
Structure: optimized geometry

Results
D(E_F) ... 0.7088 states/eV/atom

Structure (CIF):
```
data_PrCdHg4
_cell_length_a 8.5495
_cell_length_b 8.5495
_cell_length_c 8.5495
_cell_angle_alpha 90.00
_cell_angle_beta 90.00
_cell_angle_gamma 90.00
_symmetry_space_group_name_H-M 'F -4 3 m'
_symmetry_Int_Tables_number 216
_symmetry_space_group_name_Hall 'F -4 2 3'
loop_
_atom_site_label
_atom_site_type_symbol
_atom_site_fract_x
_atom_site_fract_y
_atom_site_fract_z
Pr1 Pr 0.0000 0.0000 0.0000
Cd1 Cd 0.2500 0.2500 0.2500
Hg1 Hg 0.1250 0.1250 0.6250
```



*Q*
Compound: PrCdHg4
Source: the Alexandria database
Functional: PBE
Structure: optimized geometry

Results
D(E_F) ... 0.3883 states/eV/atom

Structure (CIF):
```
data_PrCdHg4
_cell_length_a 14.7260
_cell_length_b 8.4543
_cell_length_c 5.2686
_cell_angle_alpha 90.00
_cell_angle_beta 103.52
_cell_angle_gamma 90.00
_symmetry_space_group_name_H-M 'C 1 2/m 1'
_symmetry_Int_Tables_number 12
loop_
_symmetry_equiv_pos_as_xyz
'x,y,z'
'-x,-y,-z'
'-x,y,-z'
'x,-y,z'
'x+1/2,y+1/2,z'
'-x+1/2,-y+1/2,-z'
'-x+1/2,y+1/2,-z'
'x+1/2,-y+1/2,z'
loop_
_atom_site_label
_atom_site_type_symbol
_atom_site_fract_x
_atom_site_fract_y
_atom_site_fract_z
Pr1 Pr 0.2004 0.0000 0.1310
Cd1 Cd 0.0571 0.5000 0.7616
Hg1 Hg 0.0000 0.1901 0.0000
Hg2 Hg 0.1306 0.1960 0.5880
Hg3 Hg 0.1646 0.5000 0.2861
```



*R*
Compound: PrCdHg4
Source: the Alexandria database
Functional: PBE
Structure: optimized geometry

Results
D(E_F) ... 0.4211 states/eV/atom

Structure (CIF):
```
data_PrCdHg4
_cell_length_a 12.4229
_cell_length_b 4.9452
_cell_length_c 4.9483
_cell_angle_alpha 90.00
_cell_angle_beta 90.69
_cell_angle_gamma 90.00
_symmetry_space_group_name_H-M 'C 1 2/m 1'
_symmetry_Int_Tables_number 12
loop_
_symmetry_equiv_pos_as_xyz
'x,y,z'
'-x,-y,-z'
'-x,y,-z'
'x,-y,z'
'x+1/2,y+1/2,z'
'-x+1/2,-y+1/2,-z'
'-x+1/2,y+1/2,-z'
'x+1/2,-y+1/2,z'
loop_
_atom_site_label
_atom_site_type_symbol
_atom_site_fract_x
_atom_site_fract_y
_atom_site_fract_z
Pr1 Pr 0.0000 0.0000 0.0000
Cd1 Cd 0.0000 0.5000 0.5000
Hg1 Hg 0.1668 0.0000 0.5037
Hg2 Hg 0.1720 0.5000 0.9985
```



Energies relative to the most stable structure are *P* 165; *Q* 56; *R* 0, reported in meV per atom.